[1]
DFT (PBE-GGA) results for a relaxed YPt3N crystal.

```
YPt3N
1.0
5.2208 0.0000 0.0000
0.0000 5.2208 0.0000
0.0000 0.0000 5.2208
Pt N Y
3 1 1
direct
0.0000 0.5000 0.0000
0.0000 0.0000 0.5000
0.5000 0.0000 0.0000
0.5000 0.5000 0.5000
0.0000 0.0000 0.0000
```

Properties
The uncorrected formation energy is 10.149 eV per formula unit. As for the excess energy over the best structure of this formula in the dataset: 2.221 eV/atom. The density of states at the Fermi level is 2.49 states/eV/f.u. For the total energy, the calculation gives -4.5526 eV/atom.

=====

[2]
DFT (PBE-GGA) results for a relaxed LiCaPrBi crystal.

```
LiCaPrBi
1.0
5.4916 0.0000 0.0000
2.7458 4.7559 0.0000
2.7458 1.5853 4.4839
Bi Pr Li Ca
1 1 1 1
direct
0.0000 0.0000 0.0000
0.7500 0.7500 0.7500
0.5000 0.5000 0.5000
0.2500 0.2500 0.2500
```

Properties
The density of states at the Fermi level is 3.50 states/eV/f.u. As for the energy of formation from the pure elements: -384 meV/atom. For the total energy, the calculation gives -3.5279 eV/atom.